(1)
The following is a DFT calculation (PBE-GGA) of FeAgRu2 after structural relaxation.

It has space group P4/mmm (No. 123), with a = 3.830 Å, b = 3.830 Å, c = 3.915 Å, α = 90.00°, β = 90.00° and γ = 90.00°. The asymmetric unit holds Fe at (0.000, 0.000, 0.000), Ag at (0.500, 0.500, 0.000) and Ru at (0.000, 0.500, 0.500).

The value obtained for the formation energy from the elements is 0.51 eV per atom. The value obtained for the energy above the most stable polymorph in this dataset is 212 meV per atom. Its total energy is -6.9515 eV/atom.

***

(2)
The following is a DFT calculation (PBE-GGA) of FeAgRu2 after structural relaxation.

It has space group P4mm (No. 99), with a = 2.730 Å, b = 2.730 Å, c = 7.849 Å, α = 90.00°, β = 90.00° and γ = 90.00°. The asymmetric unit holds Fe at (0.000, 0.000, 0.000), Ag at (0.500, 0.500, 0.742), Ru at (0.000, 0.000, 0.461) and Ru at (0.500, 0.500, 0.240).

The value obtained for the formation energy from the elements is 0.30 eV per atom. The value obtained for the energy above the most stable polymorph in this dataset is 0 meV per atom. Its total energy is -7.1634 eV/atom.